# 1
KInSi: optimized geometry, GGA-PBE.

Its magnetic moment is 0.0 μB per cell. The calculation puts the formation energy without anion corrections at 0.03 eV per formula unit. The calculation puts the density of states at the Fermi level at 4.49 states/eV/cell.

The structure belongs to space group C2/m (No. 12); the cell edges are 14.0631, 3.8316 and 6.8128 Å and the angles 90.00°, 98.80° and 90.00°. The inequivalent atoms are K at (0.1259, 0.0000, 0.3798), In at (0.0832, 0.5000, 0.8559) and Si at (0.2417, 0.0000, 0.8818).

# 2
K2InSi: optimized geometry, GGA-PBE.

The calculation puts the excess energy over the best structure of this formula in the dataset at 13 meV per atom. Its magnetic moment is 0.0 μB per cell. The calculation puts the formation energy without anion corrections at 0.27 eV per formula unit. The calculation puts the density of states at the Fermi level at 5.08 states/eV/cell.

The structure belongs to space group Amm2 (No. 38); the cell edges are 4.5087, 5.5562 and 12.2058 Å and the angles 90.00°, 90.00° and 90.00°. The inequivalent atoms are K at (0.0000, 0.0000, 0.0000), K at (0.5000, 0.0000, 0.2935), In at (0.5000, 0.0000, 0.6016) and Si at (0.0000, 0.0000, 0.7068).

# 3
KIn2Si: optimized geometry, GGA-PBE.

Its magnetic moment is 0.0 μB per cell. The calculation puts the formation energy without anion corrections at 0.58 eV per formula unit. The calculation puts the density of states at the Fermi level at 3.38 states/eV/cell.

The structure belongs to space group Cm (No. 8); the cell edges are 9.4876, 3.3908 and 7.4889 Å and the angles 90.00°, 98.45° and 90.00°. The inequivalent atoms are K at (0.0000, 0.0000, 0.0000), In at (0.0176, 0.5000, 0.5470), In at (0.2644, 0.5000, 0.3377) and Si at (0.2546, 0.0000, 0.6821).

# 4
KIn2Si: optimized geometry, GGA-PBE.

Its magnetic moment is 0.0 μB per cell. The calculation puts the formation energy without anion corrections at 0.77 eV per formula unit. The calculation puts the density of states at the Fermi level at 3.46 states/eV/cell.

The structure belongs to space group Immm (No. 71); the cell edges are 4.1837, 6.3195 and 9.5084 Å and the angles 90.00°, 90.00° and 90.00°. The inequivalent atoms are K at (0.0000, 0.0000, 0.0000), In at (0.0000, 0.5000, 0.1859) and Si at (0.0000, 0.0000, 0.5000).

# 5
KInSi: optimized geometry, GGA-PBE.

Its magnetic moment is 0.0 μB per cell. The calculation puts the formation energy without anion corrections at -0.02 eV per formula unit. The calculation puts the density of states at the Fermi level at 0.15 states/eV/cell.

The structure belongs to space group Pnma (No. 62); the cell edges are 8.3856, 4.8082 and 7.8932 Å and the angles 90.00°, 90.00° and 90.00°. The inequivalent atoms are K at (0.0081, 0.2500, 0.1666), In at (0.1597, 0.2500, 0.5887) and Si at (0.1743, 0.7500, 0.3998).

# 6
KIn2Si: optimized geometry, GGA-PBE.

Its magnetic moment is 0.0 μB per cell. The calculation puts the formation energy without anion corrections at 0.69 eV per formula unit. The calculation puts the density of states at the Fermi level at 14.15 states/eV/cell.

The structure belongs to space group I-42d (No. 122); the cell edges are 8.6722, 8.6722 and 6.4604 Å and the angles 90.00°, 90.00° and 90.00°. The inequivalent atoms are K at (0.0000, 0.0000, 0.0000), In at (0.1702, 0.2500, 0.6250) and Si at (0.0000, 0.0000, 0.5000).

# 7
K2InSi: optimized geometry, GGA-PBE.

The calculation puts the excess energy over the best structure of this formula in the dataset at 335 meV per atom. Its magnetic moment is 3.5 μB per cell. The calculation puts the formation energy without anion corrections at 1.56 eV per formula unit. The calculation puts the density of states at the Fermi level at 11.53 states/eV/cell.

The structure belongs to space group Fm-3m (No. 225); the cell edges are 8.1030, 8.1030 and 8.1030 Å and the angles 90.00°, 90.00° and 90.00°. The inequivalent atoms are K at (0.2500, 0.2500, 0.2500), In at (0.0000, 0.0000, 0.0000) and Si at (0.0000, 0.0000, 0.5000).

# 8
KInSi: optimized geometry, GGA-PBE.

Its magnetic moment is 0.0 μB per cell. The calculation puts the formation energy without anion corrections at 0.14 eV per formula unit. The calculation puts the density of states at the Fermi level at 0.00 states/eV/cell.

The structure belongs to space group P-1 (No. 2); the cell edges are 3.7085, 7.0035 and 7.5568 Å and the angles 79.48°, 89.78° and 74.95°. The inequivalent atoms are K at (0.0415, 0.4177, 0.2325), In at (0.2131, 0.0853, 0.6694) and Si at (0.3096, 0.8784, 0.0143).